# DySn3Pd7

A geometry-optimized DySn3Pd7 structure (GGA-PBE, Alexandria via LeMat-Bulk).

Structure (POSCAR):
```
DySn3Pd7
1.0
4.2528 -4.8796 0.0000
4.2528 4.8796 0.0000
-2.1846 0.0000 5.1247
Dy Sn Pd
1 3 7
direct
0.0000 0.0000 0.0000 Dy
0.2700 0.7300 0.5000 Sn
0.5000 0.5000 0.0000 Sn
0.7300 0.2700 0.5000 Sn
0.0000 0.0000 0.5000 Pd
0.0919 0.5534 0.8157 Pd
0.3131 0.3131 0.4544 Pd
0.4466 0.9081 0.1843 Pd
0.5534 0.0919 0.8157 Pd
0.6869 0.6869 0.5456 Pd
0.9081 0.4466 0.1843 Pd
```

- space group = C2/m (12)
- volume (Å³/cell) = 212.7
- calculated total energy (eV/cell) = -58.51



# YHfCuBr2

A geometry-optimized YHfCuBr2 structure (GGA-PBE, Alexandria via LeMat-Bulk).

Structure (POSCAR):
```
YHfCuBr2
1.0
5.3216 0.0000 0.0000
0.0000 5.3216 0.0000
0.0000 0.0000 6.5282
Y Hf Cu Br
1 1 1 2
direct
0.0000 0.0000 0.0000 Y
0.0000 0.0000 0.5000 Hf
0.5000 0.5000 0.5000 Cu
0.0000 0.5000 0.0000 Br
0.5000 0.0000 0.0000 Br
```

- formation energy without anion corrections (eV/atom) = 0.49
- space group = P4/mmm (123)
- volume (Å³/cell) = 184.9
- calculated total energy (eV/cell) = -21.42



# BeTeSe2N

A geometry-optimized BeTeSe2N structure (GGA-PBE, Alexandria via LeMat-Bulk).

Structure (POSCAR):
```
BeTeSe2N
1.0
5.3536 0.0000 0.0000
0.0000 5.3536 0.0000
0.0000 0.0000 3.9083
Be Te Se N
1 1 2 1
direct
0.0000 0.0000 0.0000 Be
0.5000 0.5000 0.5000 Te
0.0000 0.5000 0.5000 Se
0.5000 0.0000 0.5000 Se
0.5000 0.5000 0.0000 N
```

- formation energy without anion corrections (eV/atom) = 1.29
- space group = P4/mmm (123)
- volume (Å³/cell) = 112.0
- energy relative to the lowest polymorph listed for this composition (meV/atom) = 787
- calculated total energy (eV/cell) = -15.69



# ScZn2C2

A geometry-optimized ScZn2C2 structure (GGA-PBE, Alexandria via LeMat-Bulk).

Structure (POSCAR):
```
ScZn2C2
1.0
6.6045 0.0000 0.0000
0.0000 6.6045 0.0000
0.0000 0.0000 2.7038
Sc Zn C
2 4 4
direct
0.0000 0.0000 0.0000 Sc
0.5000 0.5000 0.0000 Sc
0.1250 0.3750 0.0000 Zn
0.3750 0.8750 0.0000 Zn
0.6250 0.1250 0.0000 Zn
0.8750 0.6250 0.0000 Zn
0.1858 0.6858 0.5000 C
0.3142 0.1858 0.5000 C
0.6858 0.8142 0.5000 C
0.8142 0.3142 0.5000 C
```

- space group = P4/mbm (127)
- volume (Å³/cell) = 117.9
- energy relative to the lowest polymorph listed for this composition (meV/atom) = 360
- calculated total energy (eV/cell) = -43.36



# K2AgP

A geometry-optimized K2AgP structure (GGA-PBE, Alexandria via LeMat-Bulk).

Structure (POSCAR):
```
K2AgP
1.0
2.8359 -4.4829 0.0000
2.8359 4.4829 0.0000
0.0000 0.0000 4.3821
K Ag P
2 1 1
direct
0.0000 0.5000 0.0000 K
0.5000 0.0000 0.0000 K
0.0000 0.0000 0.5000 Ag
0.5000 0.5000 0.5000 P
```

- space group = Cmmm (65)
- volume (Å³/cell) = 111.4
- calculated total energy (eV/cell) = -9.92



# NbCoCuC2

A geometry-optimized NbCoCuC2 structure (GGA-PBE, Alexandria via LeMat-Bulk).

Structure (POSCAR):
```
NbCoCuC2
1.0
3.6542 0.0000 0.0000
0.0000 3.6542 0.0000
0.0000 0.0000 4.8721
Nb Co Cu C
1 1 1 2
direct
0.0000 0.0000 0.0000 Nb
0.0000 0.0000 0.5000 Co
0.5000 0.5000 0.0000 Cu
0.0000 0.5000 0.5000 C
0.5000 0.0000 0.5000 C
```

- space group = P4/mmm (123)
- volume (Å³/cell) = 65.1
- calculated total energy (eV/cell) = -31.78



# Pr4CoHI2

A geometry-optimized Pr4CoHI2 structure (GGA-PBE, Alexandria via LeMat-Bulk).

Structure (POSCAR):
```
Pr4CoHI2
1.0
6.8944 0.0000 0.0000
0.0000 4.0733 0.0000
-2.2776 0.0000 8.0581
Pr Co H I
4 1 1 2
direct
0.2334 0.0000 0.1851 Pr
0.2663 0.5000 0.8197 Pr
0.7337 0.5000 0.1803 Pr
0.7666 0.0000 0.8149 Pr
0.5000 0.0000 0.0000 Co
0.0000 0.5000 0.0000 H
0.0000 0.0000 0.5000 I
0.5000 0.5000 0.5000 I
```

- space group = P2/m (10)
- volume (Å³/cell) = 226.3
- calculated total energy (eV/cell) = -37.27



# ZrScOs4

A geometry-optimized ZrScOs4 structure (GGA-PBE, Alexandria via LeMat-Bulk).

Structure (POSCAR):
```
ZrScOs4
1.0
0.0000 3.7028 3.7028
3.7028 0.0000 3.7028
3.7028 3.7028 0.0000
Zr Sc Os
1 1 4
direct
0.0000 0.0000 0.0000 Zr
0.7500 0.7500 0.7500 Sc
0.3752 0.3752 0.3752 Os
0.3752 0.3752 0.8743 Os
0.3752 0.8743 0.3752 Os
0.8743 0.3752 0.3752 Os
```

- space group = F-43m (216)
- volume (Å³/cell) = 101.5
- calculated total energy (eV/cell) = -61.79



# SCl2O

A geometry-optimized SCl2O structure (GGA-PBE, Alexandria via LeMat-Bulk).

Structure (POSCAR):
```
SCl2O
1.0
1.7440 1.0069 7.7043
-1.7440 1.0069 7.7043
0.0000 -2.0138 7.7043
S Cl O
1 2 1
direct
0.0000 0.0000 0.0000 S
0.0939 0.0939 0.0939 Cl
0.9061 0.9061 0.9061 Cl
0.5000 0.5000 0.5000 O
```

- formation energy without anion corrections (eV/atom) = 0.84
- space group = R-3m (166)
- volume (Å³/cell) = 81.2
- energy relative to the lowest polymorph listed for this composition (meV/atom) = 1430
- calculated total energy (eV/cell) = -9.41



# Li2Mg4Pb

A geometry-optimized Li2Mg4Pb structure (GGA-PBE, Alexandria via LeMat-Bulk).

Structure (POSCAR):
```
Li2Mg4Pb
1.0
-2.0068 2.0068 10.6762
2.0068 -2.0068 10.6762
2.0068 2.0068 -10.6762
Li Mg Pb
2 4 1
direct
0.0732 0.0732 0.0000 Li
0.9268 0.9268 0.0000 Li
0.2500 0.7500 0.5000 Mg
0.3603 0.3603 0.0000 Mg
0.6397 0.6397 0.0000 Mg
0.7500 0.2500 0.5000 Mg
0.5000 0.5000 0.0000 Pb
```

- space group = I4/mmm (139)
- volume (Å³/cell) = 172.0
- energy relative to the lowest polymorph listed for this composition (meV/atom) = 141
- calculated total energy (eV/cell) = -13.47



# Ac3PSe2

A geometry-optimized Ac3PSe2 structure (GGA-PBE, Alexandria via LeMat-Bulk).

Structure (POSCAR):
```
Ac3PSe2
1.0
-2.2172 3.1445 6.7464
2.2172 -3.1445 6.7464
2.2172 3.1445 -6.7464
Ac P Se
3 1 2
direct
0.0000 0.0000 0.0000 Ac
0.3435 0.3435 0.0000 Ac
0.6565 0.6565 0.0000 Ac
0.5000 0.0000 0.5000 P
0.1690 0.6690 0.5000 Se
0.8310 0.3310 0.5000 Se
```

- formation energy without anion corrections (eV/atom) = -1.80
- space group = Immm (71)
- volume (Å³/cell) = 188.1
- calculated total energy (eV/cell) = -35.49



# Ba2Sc2Tc

A geometry-optimized Ba2Sc2Tc structure (GGA-PBE, Alexandria via LeMat-Bulk).

Structure (POSCAR):
```
Ba2Sc2Tc
1.0
-2.0827 2.0827 8.7571
2.0827 -2.0827 8.7571
2.0827 2.0827 -8.7571
Ba Sc Tc
2 2 1
direct
0.2500 0.7500 0.5000 Ba
0.7500 0.2500 0.5000 Ba
0.0758 0.0758 0.0000 Sc
0.9242 0.9242 0.0000 Sc
0.5000 0.5000 0.0000 Tc
```

- space group = I4/mmm (139)
- volume (Å³/cell) = 151.9
- energy relative to the lowest polymorph listed for this composition (meV/atom) = 848
- calculated total energy (eV/cell) = -20.70